A relaxed Al2ReNi crystal. Source: the Alexandria database, functional PBE.

The energy of formation from the pure elements comes out at -194 meV per atom. The value obtained for the distance to the lowest polymorph of the same formula is 17.2 kJ/mol of atoms. For the calculated density, the calculation gives 9.0 Mg/m³.

abc: 5.0650 4.9144 2.6788
angles: 77.56 83.63 119.02
With the nearest neighbours (Å) after each atom.
Positions (direct):
Re1 0.5000 0.5000 0.0000  4 Al 2.53, 2 Re 2.68, 2 Ni 2.73
Ni1 0.0000 0.5000 0.5000  4 Al 2.53, 2 Ni 2.68, 2 Re 2.73
Al1 0.5000 0.0000 0.5000  2 Re 2.53, 2 Ni 2.53, 4 Al 2.68-2.73
Al2 0.0000 0.0000 0.0000  2 Ni 2.53, 2 Re 2.53, 4 Al 2.68-2.73